# Pm12Dy6Y | Alexandria via LeMat-Bulk | PBE-GGA | relaxed
data_Pm12Dy6Y
_chemical_formula_sum 'Pm36 Dy18 Y3'
_cell_length_a 12.1271
_cell_length_b 12.1271
_cell_length_c 15.2628
_cell_angle_alpha 90.00
_cell_angle_beta 90.00
_cell_angle_gamma 120.00
_space_group_name_H-M_alt 'R -3'
_space_group_IT_number 148
_space_group_name_Hall '-R 3'
loop_
_atom_site_label
_atom_site_fract_x
_atom_site_fract_y
_atom_site_fract_z
_atom_site_occupancy
Pm1 0.0043 0.1746 0.1913 1
Pm2 0.0460 0.1960 0.4166 1
Dy1 0.0141 0.5883 0.6862 1
Y1 0.0000 0.0000 0.0000 1
# ΔE to the lowest computed polymorph (meV per atom): 0.0
# Energy (eV per cell): -265.4
# ΔE_f (eV per atom): 0.1383